# 1
DFT (PBE) results for In2HgPb after structural relaxation.

a b c (Å): 11.0334 11.0334 11.0334
angles (deg): 17.96 17.96 17.96
Element x y z (fractional)
1 In 0.0064 0.0064 0.0064
2 In 0.4936 0.4936 0.4936
3 Pb 0.2500 0.2500 0.2500
4 Hg 0.7500 0.7500 0.7500

Calculated values
Density (g cm⁻³): 9.49
Total moment (μB/atom): 0.000
Density of states at the Fermi level (states/eV/atom): 0.4700
Energy relative to the elements (eV/atom): 0.019

# 2
DFT (PBE) results for In4Hg2Pb5 after structural relaxation.

a b c (Å): 3.2777 9.2062 12.3342
angles (deg): 111.91 97.64 90.00
Element x y z (fractional)
1 Pb 0.8659 0.6837 0.7319
2 Pb 0.1341 0.9518 0.2681
3 Pb 0.5000 0.0000 0.0000
4 Pb 0.1341 0.3163 0.2681
5 Pb 0.8659 0.0482 0.7319
6 In 0.0000 0.6731 0.0000
7 In 0.3861 0.3861 0.7722
8 In 0.0000 0.3269 0.0000
9 In 0.6139 0.6139 0.2278
10 Hg 0.7445 0.7445 0.4890
11 Hg 0.2555 0.2555 0.5110

Calculated values
E above lowest polymorph (kcal/mol of atoms): 0.392
Density (g cm⁻³): 9.22
Total moment (μB/atom): 0.000
Density of states at the Fermi level (states/eV/atom): 0.4090
Energy relative to the elements (eV/atom): 0.079

# 3
DFT (PBE) results for In3Hg2Pb8 after structural relaxation.

a b c (Å): 5.6799 9.1087 9.1474
angles (deg): 119.86 87.73 90.00
Element x y z (fractional)
1 Pb 0.4909 0.8042 0.2241
2 Pb 0.9924 0.6693 0.3386
3 Pb 0.5091 0.1958 0.7759
4 Pb 0.5091 0.5800 0.7759
5 Pb 0.0076 0.3307 0.6614
6 Pb 0.4909 0.4200 0.2241
7 Pb 0.9971 0.8872 0.7744
8 Pb 0.0029 0.1128 0.2256
9 In 0.0000 0.3026 0.0000
10 In 0.0000 0.6974 0.0000
11 In 0.5000 0.0000 0.0000
12 Hg 0.5020 0.2129 0.4258
13 Hg 0.4980 0.7871 0.5742

Calculated values
E above lowest polymorph (kcal/mol of atoms): 0.000
Density (g cm⁻³): 9.73
Total moment (μB/atom): 0.000
Density of states at the Fermi level (states/eV/atom): 0.4577
Energy relative to the elements (eV/atom): 0.081

# 4
DFT (PBE) results for InHg3Pb4 after structural relaxation.

a b c (Å): 6.7910 9.7677 6.9815
angles (deg): 90.00 90.00 90.00
Element x y z (fractional)
1 Pb 0.5000 0.8123 0.0005
2 Pb 0.2494 0.0609 0.2492
3 Pb 0.7494 0.5609 0.7508
4 Pb 0.0000 0.3133 0.4978
5 Pb 0.0000 0.3123 0.9995
6 Pb 0.5000 0.8133 0.5022
7 Pb 0.2506 0.5609 0.7508
8 Pb 0.7506 0.0609 0.2492
9 Hg 0.2457 0.5678 0.2482
10 Hg 0.7543 0.5678 0.2482
11 Hg 0.2543 0.0678 0.7518
12 Hg 0.7457 0.0678 0.7518
13 Hg 0.5000 0.3169 0.0084
14 Hg 0.0000 0.8169 0.9916
15 In 0.5000 0.3155 0.4931
16 In 0.0000 0.8155 0.5069

Calculated values
E above lowest polymorph (kcal/mol of atoms): 0.000
Density (g cm⁻³): 11.08
Total moment (μB/atom): 0.000
Density of states at the Fermi level (states/eV/atom): 0.4572
Energy relative to the elements (eV/atom): 0.033

Question: The highest density belongs to which entry?
Answer: InHg3Pb4